SmErRu: relaxed, GGA-PBE.

abc: 4.351 7.601 13.239
angles: 89.11 90.00 90.00
Atoms (fractional coordinates):
Sm 0.750 0.528 0.381
Sm 0.250 0.977 0.712
Sm 0.750 0.023 0.288
Sm 0.750 0.641 0.082
Sm 0.250 0.472 0.619
Sm 0.250 0.359 0.918
Er 0.250 0.983 0.092
Er 0.250 0.850 0.458
Er 0.750 0.635 0.793
Er 0.750 0.150 0.542
Er 0.250 0.365 0.207
Er 0.750 0.017 0.908
Ru 0.250 0.765 0.914
Ru 0.750 0.273 0.749
Ru 0.750 0.763 0.584
Ru 0.750 0.235 0.086
Ru 0.250 0.237 0.416
Ru 0.250 0.727 0.251

SG: P2_1/m
ρ: 9.5 g/cm³
Raw total energy: -116.97 eV/cell
Total moment: 0.00 Bohr magnetons per cell
DOS at the Fermi energy: 7.35 states/eV/cell
Energy relative to the lowest polymorph listed for this composition: 0.00 kJ per mole of atoms